Record 1
A plane-wave DFT calculation with PBE-GGA was carried out for an optimized crystal structure of Sr2CaCdPd.

spin magnetization: 0.00 μB per formula unit
energy relative to the lowest polymorph listed for this composition: 0.000 eV per atom
ρ: 3721 kg/m3
ΔE_f: -0.301 eV/atom
density of states at the Fermi level: 3.07 states/eV/f.u.

Cell: 5.909 5.909 5.548 Å, 90.00 90.00 90.00°
Sites, in units of the cell vectors:
Sr 0.000 0.500 0.000
Sr 0.500 0.000 0.000
Ca 0.000 0.000 0.500
Pd 0.000 0.000 0.000
Cd 0.500 0.500 0.500



Record 2
A plane-wave DFT calculation with PBE-GGA was carried out for an optimized crystal structure of CsAlTc2O8.

spin magnetization: 2.04 μB per formula unit
ρ: 3570 kg/m3
density of states at the Fermi level: 6.15 states/eV/f.u.
formation energy (no corrections): -1.755 eV per atom

Cell: 5.395 5.395 8.728 Å, 86.50 86.50 62.66°
Each line ends with the local moment (μB).
Sites, in units of the cell vectors:
Cs 0.000 0.000 0.500  0.00
Al 0.000 0.000 0.000  0.01
Tc 0.637 0.637 0.188  0.68
Tc 0.363 0.363 0.812  0.68
O 0.731 0.205 0.848  0.04
O 0.801 0.801 0.065  0.07
O 0.678 0.678 0.381  0.07
O 0.322 0.322 0.619  0.07
O 0.199 0.199 0.935  0.07
O 0.205 0.731 0.848  0.04
O 0.795 0.269 0.152  0.04
O 0.269 0.795 0.152  0.04



Record 3
A plane-wave DFT calculation with PBE-GGA was carried out for an optimized crystal structure of Cu2BiO2.

spin magnetization: 0.00 μB per formula unit
energy relative to the lowest polymorph listed for this composition: 0.000 eV per atom
ρ: 9394 kg/m3
density of states at the Fermi level: 1.92 states/eV/f.u.
formation energy (no corrections): -0.139 eV per atom

Cell: 3.449 3.449 5.987 Å, 73.26 73.26 90.00°
Sites, in units of the cell vectors:
O 0.378 0.378 0.244
O 0.622 0.622 0.756
Bi 0.000 0.000 0.000
Cu 0.750 0.250 0.500
Cu 0.250 0.750 0.500



Record 4
A plane-wave DFT calculation with PBE-GGA was carried out for an optimized crystal structure of TaTiN.

spin magnetization: 0.20 μB per formula unit
energy relative to the lowest polymorph listed for this composition: 0.780 eV per atom
ρ: 10638 kg/m3
density of states at the Fermi level: 2.25 states/eV/f.u.
formation energy (no corrections): -0.341 eV per atom

Cell: 2.762 2.762 5.339 Å, 104.99 104.99 90.00°
Each line ends with the local moment (μB).
Sites, in units of the cell vectors:
Ti 0.299 0.299 0.598  0.18
Ta 0.036 0.036 0.072  0.00
N 0.665 0.665 0.330  -0.01



Record 5
A plane-wave DFT calculation with PBE-GGA was carried out for an optimized crystal structure of PrIn2Te4.

spin magnetization: 0.00 μB per formula unit
ρ: 5575 kg/m3
density of states at the Fermi level: 4.26 states/eV/f.u.
formation energy (no corrections): -0.482 eV per atom

Cell: 7.011 7.011 7.011 Å, 106.13 106.13 116.39°
Sites, in units of the cell vectors:
Pr 0.500 0.500 0.000
In 0.250 0.750 0.500
In 0.750 0.250 0.500
Te 0.300 0.179 0.479
Te 0.821 0.300 0.121
Te 0.179 0.700 0.879
Te 0.700 0.821 0.521



Record 6
A plane-wave DFT calculation with PBE-GGA was carried out for an optimized crystal structure of MgAlCd4.

spin magnetization: 0.00 μB per formula unit
energy relative to the lowest polymorph listed for this composition: 0.128 eV per atom
ρ: 6031 kg/m3
ΔE_f: 0.144 eV/atom
density of states at the Fermi level: 2.18 states/eV/f.u.

Cell: 5.800 5.800 5.800 Å, 60.00 60.00 60.00°
Sites, in units of the cell vectors:
Mg 0.750 0.750 0.750
Al 0.000 0.000 0.000
Cd 0.875 0.375 0.375
Cd 0.375 0.375 0.875
Cd 0.375 0.875 0.375
Cd 0.375 0.375 0.375



Record 7
A plane-wave DFT calculation with PBE-GGA was carried out for an optimized crystal structure of SrIrPb2.

spin magnetization: 0.00 μB per formula unit
ρ: 11165 kg/m3
ΔE_f: 0.145 eV/atom
density of states at the Fermi level: 3.00 states/eV/f.u.

Cell: 5.266 5.266 5.266 Å, 60.00 60.00 60.00°
Sites, in units of the cell vectors:
Ir 0.500 0.500 0.500
Pb 0.000 0.000 0.000
Pb 0.250 0.250 0.250
Sr 0.750 0.750 0.750



Record 8
A plane-wave DFT calculation with PBE-GGA was carried out for an optimized crystal structure of LiHg3Ir.

spin magnetization: 1.21 μB per formula unit
energy relative to the lowest polymorph listed for this composition: 0.664 eV per atom
ρ: 13071 kg/m3
ΔE_f: 0.855 eV/atom
density of states at the Fermi level: 3.70 states/eV/f.u.

Cell: 4.669 4.669 4.669 Å, 90.00 90.00 90.00°
Each line ends with the local moment (μB).
Sites, in units of the cell vectors:
Ir 0.500 0.500 0.500  1.02
Hg 0.000 0.500 0.000  0.04
Hg 0.000 0.000 0.500  0.06
Hg 0.500 0.000 0.000  0.01
Li 0.000 0.000 0.000  0.03



Record 9
A plane-wave DFT calculation with PBE-GGA was carried out for an optimized crystal structure of K2Rb2Ag.

spin magnetization: 0.00 μB per formula unit
energy relative to the lowest polymorph listed for this composition: 0.000 eV per atom
ρ: 1888 kg/m3
ΔE_f: 0.032 eV/atom
density of states at the Fermi level: 3.79 states/eV/f.u.

Cell: 9.574 9.007 9.007 Å, 115.18 103.94 103.94°
Sites, in units of the cell vectors:
K 0.371 0.229 0.229
K 0.130 0.750 0.750
K 0.870 0.250 0.250
K 0.629 0.771 0.771
Rb 0.763 0.320 0.768
Rb 0.237 0.680 0.232
Rb 0.763 0.768 0.320
Rb 0.237 0.232 0.680
Ag 0.000 0.095 0.905
Ag 0.000 0.905 0.095



Record 10
A plane-wave DFT calculation with PBE-GGA was carried out for an optimized crystal structure of CaLa2Rh.

spin magnetization: 0.00 μB per formula unit
energy relative to the lowest polymorph listed for this composition: 0.004 eV per atom
ρ: 4796 kg/m3
ΔE_f: -0.400 eV/atom
density of states at the Fermi level: 5.34 states/eV/f.u.

Cell: 10.129 10.129 10.129 Å, 23.55 23.55 23.55°
Sites, in units of the cell vectors:
Ca 0.750 0.750 0.750
Rh 0.250 0.250 0.250
La 0.970 0.970 0.970
La 0.530 0.530 0.530



Record 11
A plane-wave DFT calculation with PBE-GGA was carried out for an optimized crystal structure of Th3SiS2.

spin magnetization: 0.00 μB per formula unit
ρ: 8793 kg/m3
density of states at the Fermi level: 4.30 states/eV/f.u.
formation energy (no corrections): -1.481 eV per atom

Cell: 4.182 5.831 7.081 Å, 114.31 107.16 90.00°
Sites, in units of the cell vectors:
Th 0.500 0.500 0.000
Th 0.168 0.168 0.335
Th 0.832 0.832 0.665
Si 0.500 0.000 0.000
S 0.165 0.664 0.329
S 0.835 0.336 0.671



Record 12
A plane-wave DFT calculation with PBE-GGA was carried out for an optimized crystal structure of PmMgAg3.

spin magnetization: 0.00 μB per formula unit
energy relative to the lowest polymorph listed for this composition: 0.000 eV per atom
ρ: 7550 kg/m3
ΔE_f: -0.222 eV/atom
density of states at the Fermi level: 2.90 states/eV/f.u.

Cell: 5.587 7.818 9.977 Å, 95.69 90.00 90.00°
Sites, in units of the cell vectors:
Pm 0.136 0.795 0.366
Pm 0.864 0.205 0.634
Pm 0.636 0.705 0.634
Pm 0.364 0.295 0.366
Mg 0.618 0.330 0.048
Mg 0.382 0.670 0.952
Mg 0.118 0.170 0.952
Mg 0.882 0.830 0.048
Ag 0.895 0.514 0.869
Ag 0.105 0.486 0.131
Ag 0.395 0.986 0.131
Ag 0.605 0.014 0.869
Ag 0.587 0.639 0.217
Ag 0.413 0.361 0.783
Ag 0.087 0.861 0.783
Ag 0.913 0.139 0.217
Ag 0.855 0.451 0.389
Ag 0.145 0.549 0.611
Ag 0.355 0.049 0.611
Ag 0.645 0.951 0.389



no.,final energy (eV per atom)
1,-2.596
2,-7.171
3,-4.537
4,-9.699
5,-3.743
6,-1.355
7,-4.345
8,-1.481
9,-1.364
10,-5.202
11,-7.471
12,-3.202